! VCu12As3S16 (PBEsol, relaxed); values from VASP
! Uncorrected energy = -4.920 eV per atom
! Space group = R3c
! Theoretical density = 4.6 g/cm3
! Size of the total moment = 0.00 μB/f.u.
&SYSTEM
  ibrav = 0, nat = 64, ntyp = 4
/
ATOMIC_SPECIES
S 32.06 S.upf
Cu 63.55 Cu.upf
As 74.92 As.upf
V 50.94 V.upf
CELL_PARAMETERS angstrom
10.390 0.006 0.006
-0.009 10.390 0.006
-0.009 -0.009 10.390
ATOMIC_POSITIONS crystal
S 0.122 0.877 0.876
Cu 0.252 0.748 0.750
Cu 0.996 0.756 0.510
Cu 0.996 0.996 0.740
S 0.380 0.125 0.872
S 0.376 0.877 0.130
S 0.880 0.372 0.625
Cu 0.756 0.510 0.996
Cu 0.510 0.996 0.756
S 0.372 0.625 0.880
S 0.621 0.621 0.621
Cu 0.496 0.240 0.496
Cu 0.750 0.252 0.748
S 0.126 0.127 0.625
Cu 0.496 0.496 0.240
Cu 0.256 0.496 0.010
Cu 0.752 0.250 0.248
S 0.121 0.121 0.121
Cu 0.748 0.750 0.252
As 0.000 0.502 0.754
Cu 0.755 0.499 0.501
S 0.858 0.869 0.632
S 0.377 0.622 0.376
S 0.125 0.872 0.380
S 0.626 0.125 0.627
V 0.499 0.499 0.499
As 0.502 0.754 0.000
As 0.500 0.254 0.002
S 0.376 0.377 0.622
As 0.754 0.000 0.502
Cu 0.255 0.001 0.999
S 0.132 0.369 0.358
S 0.130 0.376 0.877
S 0.877 0.876 0.122
S 0.622 0.376 0.377
Cu 0.996 0.740 0.996
S 0.127 0.625 0.126
S 0.872 0.380 0.125
S 0.377 0.876 0.630
As 0.254 0.002 0.500
Cu 0.499 0.501 0.755
Cu 0.496 0.010 0.256
S 0.125 0.627 0.626
Cu 0.248 0.752 0.250
Cu 0.250 0.248 0.752
S 0.627 0.626 0.125
Cu 0.001 0.999 0.255
S 0.369 0.358 0.132
Cu 0.501 0.755 0.499
S 0.630 0.377 0.876
Cu 0.010 0.256 0.496
V 0.999 0.999 0.999
S 0.877 0.130 0.376
S 0.876 0.630 0.377
Cu 0.999 0.255 0.001
Cu 0.740 0.996 0.996
S 0.876 0.122 0.877
S 0.632 0.858 0.869
S 0.358 0.132 0.369
As 0.002 0.500 0.254
S 0.625 0.880 0.372
S 0.625 0.126 0.127
S 0.869 0.632 0.858
Cu 0.240 0.496 0.496


! CuSbAs (PBEsol, relaxed); values from VASP
! Uncorrected energy = -4.217 eV per atom
! Space group = F-43m
! Theoretical density = 6.5 g/cm3
! Size of the total moment = 0.00 μB/f.u.
! Fermi-level density of states = 0.50 states/eV/atom
&SYSTEM
  ibrav = 0, nat = 3, ntyp = 3
/
ATOMIC_SPECIES
Sb 121.76 Sb.upf
Cu 63.55 Cu.upf
As 74.92 As.upf
CELL_PARAMETERS angstrom
-3.333 -2.113 2.242
-2.948 -2.615 -2.253
0.113 -4.509 0.513
ATOMIC_POSITIONS crystal
Sb 0.500 0.500 0.500
Cu 0.000 0.000 0.000
As 0.250 0.250 0.250


! CuSbAs2 (PBEsol, relaxed); values from VASP
! Uncorrected energy = -4.669 eV per atom
! Space group = I-42d
! Theoretical density = 5.8 g/cm3
! Size of the total moment = 0.00 μB/f.u.
! Fermi-level density of states = 0.14 states/eV/atom
&SYSTEM
  ibrav = 0, nat = 8, ntyp = 3
/
ATOMIC_SPECIES
As 74.92 As.upf
Cu 63.55 Cu.upf
Sb 121.76 Sb.upf
CELL_PARAMETERS angstrom
-3.002 -0.266 4.888
1.939 -5.330 0.901
5.067 4.938 0.007
ATOMIC_POSITIONS crystal
As 0.423 0.875 0.250
Cu 0.500 0.500 0.000
Sb 0.000 0.000 0.000
As 0.125 0.173 0.750
Sb 0.250 0.750 0.500
Cu 0.750 0.250 0.500
As 0.625 0.577 0.750
As 0.827 0.375 0.250


! CuSbAs2 (PBEsol, relaxed); values from VASP
! Uncorrected energy = -4.497 eV per atom
! Space group = Pmmm
! Theoretical density = 7.4 g/cm3
! Size of the total moment = 0.00 μB/f.u.
! Fermi-level density of states = 0.46 states/eV/atom
&SYSTEM
  ibrav = 0, nat = 4, ntyp = 3
/
ATOMIC_SPECIES
Cu 63.55 Cu.upf
Sb 121.76 Sb.upf
As 74.92 As.upf
CELL_PARAMETERS angstrom
-2.912 -0.140 -0.582
0.686 -0.216 -3.381
0.246 -7.253 0.513
ATOMIC_POSITIONS crystal
Cu 0.500 0.500 0.000
Sb 0.500 0.500 0.500
As 0.000 0.000 0.189
As 0.000 0.000 0.811


Number 1: ΔE_f (raw) -323 meV per atom. Number 2: ΔE_f (raw) 448 meV per atom. Number 3: ΔE_f (raw) 107 meV per atom. Number 4: ΔE_f (raw) 279 meV per atom.